ScMoIO2: relaxed, GGA+U.

**Energy relative to the lowest polymorph listed for this composition**: 0.316 eV per atom
**Symmetry**: P4/mmm (123)
**M_tot**: 3.5 μB/f.u.
**Total DFT energy (no corrections)**: -5.6537 eV/atom

Cell: 4.088 4.088 5.857 Å, 90.00 90.00 90.00°
Fractional coordinates of all 5 atoms:
I (0.000, 0.000, 0.500)
Sc (0.500, 0.500, 0.500)
Mo (0.000, 0.000, 0.000)
O (0.000, 0.500, 0.000)
O (0.500, 0.000, 0.000)